Er8TcAu2 | PBE | optimized geometry

```
Er8TcAu2
1.0
5.104 0.000 0.000
0.000 6.829 0.110
-2.552 -2.797 8.097
Er Tc Au
8 1 2
Direct
0.408 0.564 0.815
0.662 0.962 0.324
0.803 0.700 0.606
0.972 0.204 0.944
0.197 0.300 0.394
0.338 0.038 0.676
0.592 0.436 0.185
0.028 0.796 0.056
0.500 0.000 0.000
0.815 0.294 0.631
0.185 0.706 0.369
```

## Properties
The value obtained for the size of the total moment is 0.00 μB/cell. The formation energy comes out at -0.3721 eV per atom. As for the space-group type: C2/m, No. 12. The value obtained for the total energy is -0.1922 hartree per atom.


Er8TcAu2 | PBE | optimized geometry

```
Er8TcAu2
1.0
5.561 -0.098 -1.036
-2.091 6.947 -3.361
-0.111 -0.532 7.977
Er Tc Au
8 1 2
Direct
0.594 0.329 0.097
0.594 0.097 0.329
0.185 0.365 0.365
0.992 0.202 0.796
0.992 0.796 0.202
0.801 0.643 0.643
0.373 0.908 0.675
0.373 0.675 0.908
0.099 0.004 0.004
0.498 0.708 0.307
0.498 0.307 0.708
```

## Properties
The value obtained for the size of the total moment is 0.00 μB/cell. The formation energy comes out at -0.2629 eV per atom. As for the space-group type: Cm, No. 8. The value obtained for the total energy is -0.1881 hartree per atom.


ErTmTcAu | PBE | optimized geometry

```
ErTmTcAu
1.0
-3.353 2.482 -2.567
-3.058 -2.389 -2.988
-4.745 -0.386 1.151
Tm Au Tc Er
1 1 1 1
Direct
0.250 0.250 0.250
0.000 0.000 0.000
0.500 0.500 0.500
0.750 0.750 0.750
```

## Properties
The value obtained for the size of the total moment is 0.00 μB/cell. The formation energy comes out at -0.4110 eV per atom. As for the space-group type: F-43m, No. 216. The value obtained for the total energy is -0.2235 hartree per atom.